VASP calculation (PBE) on a relaxed structure of Sm2MgRh3.

Computed properties:
- formation energy (eV/atom) = -0.39
- density (g cm⁻³) = 8.42
- E above lowest polymorph (meV per atom) = 268.8

Cell and atoms, written as CIF:
```
data_Sm2MgRh3
_chemical_formula_sum 'Sm4 Mg2 Rh6'
_cell_length_a 4.588
_cell_length_b 5.468
_cell_length_c 9.967
_cell_angle_alpha 90.00
_cell_angle_beta 90.00
_cell_angle_gamma 90.00
_symmetry_space_group_name_H-M 'I m m m'
_symmetry_Int_Tables_number 71
_symmetry_space_group_name_Hall '-I 2 2'
loop_
_atom_site_label
_atom_site_type_symbol
_atom_site_fract_x
_atom_site_fract_y
_atom_site_fract_z
Sm1 Sm 0.000 0.000 0.180
Mg1 Mg 0.000 0.000 0.500
Rh1 Rh 0.000 0.500 0.137
Rh2 Rh 0.000 0.500 0.500
```


VASP calculation (PBE) on a relaxed structure of Sm4MgRh.

Computed properties:
- formation energy (eV/atom) = -0.25
- density (g cm⁻³) = 6.89
- E above lowest polymorph (meV per atom) = 114.9

Cell and atoms, written as CIF:
```
data_Sm4MgRh
_chemical_formula_sum 'Sm16 Mg4 Rh4'
_cell_length_a 9.120
_cell_length_b 12.995
_cell_length_c 6.193
_cell_angle_alpha 90.00
_cell_angle_beta 106.81
_cell_angle_gamma 90.00
_symmetry_space_group_name_H-M 'C 1 2/c 1'
_symmetry_Int_Tables_number 15
_symmetry_space_group_name_Hall '-C 2yc'
loop_
_atom_site_label
_atom_site_type_symbol
_atom_site_fract_x
_atom_site_fract_y
_atom_site_fract_z
Sm1 Sm 0.109 0.170 0.045
Sm2 Sm 0.219 0.410 0.391
Mg1 Mg 0.000 0.383 0.750
Rh1 Rh 0.000 0.000 0.250
```


VASP calculation (PBE) on a relaxed structure of SmMgRh.

Computed properties:
- formation energy (eV/atom) = -0.45
- density (g cm⁻³) = 6.31

Cell and atoms, written as CIF:
```
data_SmMgRh
_chemical_formula_sum 'Sm4 Mg4 Rh4'
_cell_length_a 6.636
_cell_length_b 6.636
_cell_length_c 6.636
_cell_angle_alpha 90.00
_cell_angle_beta 90.00
_cell_angle_gamma 90.00
_symmetry_space_group_name_H-M 'F -4 3 m'
_symmetry_Int_Tables_number 216
_symmetry_space_group_name_Hall 'F -4 2 3'
loop_
_atom_site_label
_atom_site_type_symbol
_atom_site_fract_x
_atom_site_fract_y
_atom_site_fract_z
Sm1 Sm 0.000 0.000 0.000
Mg1 Mg 0.000 0.000 0.500
Rh1 Rh 0.250 0.250 0.250
```


VASP calculation (PBE) on a relaxed structure of Sm12MgRh7.

Computed properties:
- formation energy (eV/atom) = -0.52
- density (g cm⁻³) = 7.73

Cell and atoms, written as CIF:
```
data_Sm12MgRh7
_chemical_formula_sum 'Sm36 Mg3 Rh21'
_cell_length_a 14.8189
_cell_length_b 14.8189
_cell_length_c 8.6378
_cell_angle_alpha 90.00
_cell_angle_beta 90.00
_cell_angle_gamma 120.00
_symmetry_space_group_name_H-M 'R -3'
_symmetry_Int_Tables_number 148
_symmetry_space_group_name_Hall '-R 3'
loop_
_atom_site_label
_atom_site_type_symbol
_atom_site_fract_x
_atom_site_fract_y
_atom_site_fract_z
Sm1 Sm 0.0189 0.4361 0.3199
Sm2 Sm 0.0407 0.1642 0.2790
Mg1 Mg 0.0000 0.0000 0.0000
Rh1 Rh 0.0000 0.0000 0.5000
Rh2 Rh 0.0475 0.1931 0.9163
```


VASP calculation (PBE) on a relaxed structure of SmMg9Rh2.

Computed properties:
- formation energy (eV/atom) = -0.22
- density (g cm⁻³) = 3.80

Cell and atoms, written as CIF:
```
data_SmMg9Rh2
_chemical_formula_sum 'Sm4 Mg36 Rh8'
_cell_length_a 11.537
_cell_length_b 11.537
_cell_length_c 7.557
_cell_angle_alpha 90.00
_cell_angle_beta 90.00
_cell_angle_gamma 90.00
_symmetry_space_group_name_H-M 'I 41/a m d'
_symmetry_Int_Tables_number 141
loop_
_symmetry_equiv_pos_as_xyz
'x,y,z'
'-x,-y,-z'
'-y+1/4,x+3/4,z+1/4'
'y+1/4,-x+3/4,-z+1/4'
'-x+1/2,-y,z+1/2'
'x+1/2,y,-z+1/2'
'y+1/4,-x+1/4,z+3/4'
'-y+1/4,x+1/4,-z+3/4'
'x,-y,-z'
'-x,y,z'
'-y+1/4,-x+1/4,-z+3/4'
'y+1/4,x+1/4,z+3/4'
'-x+1/2,y,-z+1/2'
'x+1/2,-y,z+1/2'
'y+1/4,x+3/4,-z+1/4'
'-y+1/4,-x+3/4,z+1/4'
'x+1/2,y+1/2,z+1/2'
'-x+1/2,-y+1/2,-z+1/2'
'-y+3/4,x+1/4,z+3/4'
'y+3/4,-x+1/4,-z+3/4'
'-x,-y+1/2,z'
'x,y+1/2,-z'
'y+3/4,-x+3/4,z+1/4'
'-y+3/4,x+3/4,-z+1/4'
'x+1/2,-y+1/2,-z+1/2'
'-x+1/2,y+1/2,z+1/2'
'-y+3/4,-x+3/4,-z+1/4'
'y+3/4,x+3/4,z+1/4'
'-x,y+1/2,-z'
'x,-y+1/2,z'
'y+3/4,x+1/4,-z+3/4'
'-y+3/4,-x+1/4,z+3/4'
loop_
_atom_site_label
_atom_site_type_symbol
_atom_site_fract_x
_atom_site_fract_y
_atom_site_fract_z
Sm1 Sm 0.000 0.250 0.375
Mg1 Mg 0.000 0.250 0.875
Mg2 Mg 0.122 0.052 0.692
Rh1 Rh 0.000 0.000 0.000
```


VASP calculation (PBE) on a relaxed structure of Sm4MgRh5.

Computed properties:
- formation energy (eV/atom) = -0.66
- density (g cm⁻³) = 9.37

Cell and atoms, written as CIF:
```
data_Sm4MgRh5
_chemical_formula_sum 'Sm4 Mg1 Rh5'
_cell_length_a 3.468
_cell_length_b 3.468
_cell_length_c 16.803
_cell_angle_alpha 90.00
_cell_angle_beta 90.00
_cell_angle_gamma 90.00
_symmetry_space_group_name_H-M 'P 4/m m m'
_symmetry_Int_Tables_number 123
_symmetry_space_group_name_Hall '-P 4 2'
loop_
_atom_site_label
_atom_site_type_symbol
_atom_site_fract_x
_atom_site_fract_y
_atom_site_fract_z
Sm1 Sm 0.000 0.000 0.104
Sm2 Sm 0.000 0.000 0.313
Mg1 Mg 0.000 0.000 0.500
Rh1 Rh 0.500 0.500 0.000
Rh2 Rh 0.500 0.500 0.207
Rh3 Rh 0.500 0.500 0.413
```


VASP calculation (PBE) on a relaxed structure of Sm3Mg2Rh3.

Computed properties:
- formation energy (eV/atom) = -0.61
- density (g cm⁻³) = 7.69

Cell and atoms, written as CIF:
```
data_Sm3Mg2Rh3
_chemical_formula_sum 'Sm6 Mg4 Rh6'
_cell_length_a 8.2938
_cell_length_b 8.2938
_cell_length_c 5.8593
_cell_angle_alpha 90.00
_cell_angle_beta 90.00
_cell_angle_gamma 120.00
_symmetry_space_group_name_H-M 'P 63/m c m'
_symmetry_Int_Tables_number 193
_symmetry_space_group_name_Hall '-P 6c 2'
loop_
_atom_site_label
_atom_site_type_symbol
_atom_site_fract_x
_atom_site_fract_y
_atom_site_fract_z
Sm1 Sm 0.0000 0.2694 0.2500
Mg1 Mg 0.3333 0.6667 0.0000
Rh1 Rh 0.0000 0.3930 0.7500
```


VASP calculation (PBE) on a relaxed structure of SmMgRh.

Computed properties:
- formation energy (eV/atom) = -0.40
- density (g cm⁻³) = 6.94

Cell and atoms, written as CIF:
```
data_SmMgRh
_chemical_formula_sum 'Sm1 Mg1 Rh1'
_cell_length_a 4.5165
_cell_length_b 4.5165
_cell_length_c 3.7609
_cell_angle_alpha 90.00
_cell_angle_beta 90.00
_cell_angle_gamma 120.00
_symmetry_space_group_name_H-M 'P -6 m 2'
_symmetry_Int_Tables_number 187
_symmetry_space_group_name_Hall 'P -6 2'
loop_
_atom_site_label
_atom_site_type_symbol
_atom_site_fract_x
_atom_site_fract_y
_atom_site_fract_z
Sm1 Sm 0.0000 0.0000 0.0000
Mg1 Mg 0.6667 0.3333 0.5000
Rh1 Rh 0.3333 0.6667 0.5000
```